VASP calculation (PBE+U) on a relaxed Li4TiNi3O8 crystal.

Cell: 5.878 10.110 5.889 Å, 106.28 119.73 89.58°
Site moments in Bohr magnetons follow the coordinates.
Fractional coordinates of all 32 atoms:
Li: 0.264 0.750 0.500  0.00
Li: 0.734 0.250 0.498  0.00
Li: 0.999 0.002 0.497  0.01
Li: 0.502 0.500 0.504  0.01
Li: 0.495 0.997 0.487  0.01
Li: 0.009 0.502 0.512  0.01
Li: 0.755 0.750 0.499  0.01
Li: 0.252 0.251 0.505  0.01
Ti: 0.527 0.500 0.021  0.01
Ti: 0.974 0.000 0.979  0.01
Ni: 0.755 0.750 0.998  1.74
Ni: 0.244 0.250 0.003  1.14
Ni: 0.010 0.499 0.004  1.16
Ni: 0.257 0.749 0.002  2.09
Ni: 0.743 0.250 0.998  1.73
Ni: 0.489 0.000 0.996  1.18
O: 0.912 0.624 0.789  0.12
O: 0.372 0.130 0.788  -0.07
O: 0.113 0.371 0.214  -0.09
O: 0.601 0.876 0.212  0.12
O: 0.643 0.878 0.752  0.07
O: 0.141 0.378 0.788  -0.10
O: 0.336 0.130 0.224  -0.01
O: 0.880 0.613 0.232  0.00
O: 0.845 0.109 0.220  -0.01
O: 0.395 0.623 0.242  0.13
O: 0.141 0.885 0.771  0.03
O: 0.612 0.382 0.762  0.09
O: 0.382 0.623 0.775  0.18
O: 0.868 0.119 0.754  0.10
O: 0.625 0.381 0.247  0.09
O: 0.125 0.878 0.226  0.17

Summary:
**Energy**: -5.657 eV per atom